Entry 1:
Os2PbCl GGA-PBE optimized geometry; M_tot = 0.0 μB per formula unit; DOS(E_F) = 1.0835 states/eV/atom; electronic total energy = -5.967 eV per atom; raw formation energy = 1036 meV/atom; energy relative to the lowest polymorph listed for this composition = 2.98 eV/f.u.
1.0
6.9475 0.0011 0.0016
5.0345 4.7877 -0.0016
-5.6320 -3.2926 2.3890
Os Cl Pb
2 1 1
Cartesian
2.4140 1.8317 1.1937 Os
0.7636 0.3052 0.0000 Os
3.6911 -0.4334 1.1953 Cl
5.4723 2.1871 0.0000 Pb

***

Entry 2:
Os3PbCl GGA-PBE optimized geometry; M_tot = 6.7 μB per formula unit; DOS(E_F) = 0.5291 states/eV/atom; electronic total energy = -4.642 eV per atom; raw formation energy = 3207 meV/atom; energy relative to the lowest polymorph listed for this composition = 6.12 eV/f.u.
1.0
5.1159 0.0000 0.0000
0.0000 5.1159 0.0000
0.0000 0.0000 5.1159
Os Pb Cl
3 1 1
Cartesian
0.0000 0.0000 2.5580 Os
0.0000 2.5580 0.0000 Os
2.5580 0.0000 0.0000 Os
0.0000 0.0000 0.0000 Pb
2.5580 2.5580 2.5580 Cl

***

Entry 3:
Os2PbCl GGA-PBE optimized geometry; M_tot = 0.0 μB per formula unit; DOS(E_F) = 0.4347 states/eV/atom; electronic total energy = -6.713 eV per atom; raw formation energy = 290 meV/atom; energy relative to the lowest polymorph listed for this composition = 0.00 eV/f.u.
1.0
2.9785 0.0000 0.0000
0.0000 3.0045 -0.0166
0.0000 1.5665 9.1657
Cl Pb Os
1 1 2
Cartesian
1.4892 3.9986 7.5144 Cl
0.0000 2.4651 4.1040 Pb
1.4892 0.9518 1.8074 Os
0.0000 2.4455 0.2814 Os

***

Entry 4:
Os2PbCl GGA-PBE optimized geometry; M_tot = 0.0 μB per formula unit; DOS(E_F) = 0.2429 states/eV/atom; electronic total energy = -6.575 eV per atom; raw formation energy = 428 meV/atom; energy relative to the lowest polymorph listed for this composition = 0.55 eV/f.u.
1.0
-1.4324 -2.5397 -0.5276
0.9919 0.0206 -2.7921
7.4303 -4.7320 2.6048
Pb Os Cl
1 2 1
Cartesian
3.3350 -2.1239 1.1691 Pb
0.1952 -0.1243 0.0684 Os
1.2281 -2.1819 -1.1522 Os
5.9467 -5.1869 0.5020 Cl

***

Entry 5:
Os2PbCl GGA-PBE optimized geometry; M_tot = 0.0 μB per formula unit; DOS(E_F) = 1.0180 states/eV/atom; electronic total energy = -5.793 eV per atom; raw formation energy = 1210 meV/atom; energy relative to the lowest polymorph listed for this composition = 3.68 eV/f.u.
1.0
-0.3396 2.7190 1.0321
-5.0222 -0.3342 -0.7723
-0.5579 -1.7312 4.3772
Os Pb Cl
2 1 1
Cartesian
-2.6809 1.1924 0.1299 Os
0.0000 0.0000 0.0000 Os
-0.4488 0.4939 2.7046 Pb
-2.7901 -1.0327 1.8024 Cl

***

Entry 6:
OsPb2Cl GGA-PBE optimized geometry; M_tot = 0.0 μB per formula unit; DOS(E_F) = 0.6670 states/eV/atom; electronic total energy = -4.829 eV per atom; raw formation energy = 294 meV/atom; energy relative to the lowest polymorph listed for this composition = 0.00 eV/f.u.
1.0
-2.7457 -1.9702 -0.2344
1.9659 -2.7491 0.0796
0.6224 -1.8373 8.1542
Os Cl Pb
1 1 2
Cartesian
0.5683 -4.4249 6.0582 Os
-0.7258 -2.1317 1.9413 Cl
1.0869 -2.0395 4.4120 Pb
0.8296 -2.0910 7.8591 Pb

***

Entry 7:
OsPb2Cl GGA-PBE optimized geometry; M_tot = 0.0 μB per formula unit; DOS(E_F) = 0.8499 states/eV/atom; electronic total energy = -4.483 eV per atom; raw formation energy = 641 meV/atom; energy relative to the lowest polymorph listed for this composition = 1.39 eV/f.u.
1.0
-2.3247 -0.3839 -2.2481
2.6128 -1.9377 0.1560
-5.4703 -6.8267 6.8227
Pb Os Cl
2 1 1
Cartesian
-5.1764 -6.4600 6.4561 Pb
-1.3054 -2.9696 0.7617 Pb
-3.8186 -6.1060 3.8963 Os
-3.0873 -3.8529 3.8506 Cl

***

Entry 8:
Os2PbCl GGA-PBE optimized geometry; M_tot = 0.0 μB per formula unit; DOS(E_F) = 1.2767 states/eV/atom; electronic total energy = -5.462 eV per atom; raw formation energy = 1542 meV/atom; energy relative to the lowest polymorph listed for this composition = 5.01 eV/f.u.
1.0
0.0000 3.2642 3.2642
3.2642 0.0000 3.2642
3.2642 3.2642 0.0000
Os Pb Cl
2 1 1
Cartesian
1.6321 1.6321 1.6321 Os
4.8963 4.8963 4.8963 Os
3.2642 3.2642 3.2642 Pb
0.0000 0.0000 0.0000 Cl

***

Entry 9:
Os2PbCl GGA-PBE optimized geometry; M_tot = 0.0 μB per formula unit; DOS(E_F) = 1.0427 states/eV/atom; electronic total energy = -5.416 eV per atom; raw formation energy = 1587 meV/atom; energy relative to the lowest polymorph listed for this composition = 5.19 eV/f.u.
1.0
-2.1826 1.9039 -1.5508
-2.9245 -3.5374 -0.2268
-1.8012 1.2298 4.0448
Cl Os Pb
1 2 1
Cartesian
-1.9919 1.5668 1.2470 Cl
0.0000 0.0000 0.0000 Os
-2.3629 -1.1538 1.9090 Os
-2.5536 -0.8167 -0.8888 Pb

***

Entry 10:
Os2PbCl GGA-PBE optimized geometry; M_tot = 0.0 μB per formula unit; DOS(E_F) = 0.8559 states/eV/atom; electronic total energy = -5.858 eV per atom; raw formation energy = 1146 meV/atom; energy relative to the lowest polymorph listed for this composition = 3.42 eV/f.u.
1.0
-1.1207 2.8550 -4.6001
1.2919 -2.4640 -4.7778
-2.9925 0.0949 4.6480
Os Cl Pb
2 1 1
Cartesian
0.0886 0.2023 -4.8535 Os
0.1681 0.3841 -9.2134 Os
-2.0138 1.5727 -2.3205 Cl
-0.8075 -1.0869 -2.4094 Pb

***

Entry 11:
Os2Pb2Cl GGA-PBE optimized geometry; M_tot = 0.0 μB per formula unit; DOS(E_F) = 1.2734 states/eV/atom; electronic total energy = -5.413 eV per atom; raw formation energy = 931 meV/atom; energy relative to the lowest polymorph listed for this composition = 1.24 eV/f.u.
1.0
7.8338 0.0000 0.0000
0.0000 7.8338 0.0000
0.0000 0.0000 3.2933
Os Cl Pb
4 2 4
Cartesian
6.7548 4.9959 0.0000 Os
1.0790 2.8379 0.0000 Os
2.8379 6.7548 0.0000 Os
4.9959 1.0790 0.0000 Os
0.0000 0.0000 0.0000 Cl
3.9169 3.9169 0.0000 Cl
6.5903 2.6734 1.6467 Pb
1.2435 5.1604 1.6467 Pb
5.1604 6.5903 1.6467 Pb
2.6734 1.2435 1.6467 Pb

***

Entry 12:
Os2PbCl GGA-PBE optimized geometry; M_tot = 0.0 μB per formula unit; DOS(E_F) = 1.0872 states/eV/atom; electronic total energy = -5.661 eV per atom; raw formation energy = 1342 meV/atom; energy relative to the lowest polymorph listed for this composition = 4.21 eV/f.u.
1.0
-1.9379 1.7419 -1.6505
1.5783 -2.3253 -1.2710
-6.6127 -5.5377 1.9196
Pb Os Cl
1 2 1
Cartesian
-1.8329 -1.6761 -0.9808 Pb
-3.3711 -2.8231 0.9786 Os
-6.5480 -5.4836 1.9009 Os
-5.1393 -4.4450 -0.0210 Cl

***

The highest DOS(E_F) belongs to which entry? number 8